VASP calculation (PBEsol) on FeRuPb after structural relaxation.

M_tot   3.120 μB/cell
Energy relative to the elements   0.631 eV/atom
Energy   -7.0805 eV/atom
Symmetry   No. 156

Lattice parameters (Å, degrees): 4.240 4.240 3.135 90.00 90.00 120.00
Positions (direct):
Fe 0.000 0.000 0.000
Ru 0.667 0.333 0.861
Pb 0.333 0.667 0.411